Record 1
Entry from Alexandria: a relaxed structure of TePN2F (PBE).

Values from the calculation:
* M_tot: 2.26 Bohr magnetons per cell
* formation energy without anion corrections: 2.136 eV/atom

```
5
Lattice="4.113 0.000 0.000 0.000 4.113 0.000 0.000 0.000 4.443" Properties=species:S:1:pos:R:3 pbc="T T T"
N 2.056 0.000 0.000
N 0.000 2.056 0.000
P 2.056 2.056 2.222
Te 0.000 0.000 2.222
F 0.000 0.000 0.000
```



Record 2
Entry from Alexandria: a relaxed structure of LiFe5Pt6 (PBE).

Values from the calculation:
* M_tot: 17.30 Bohr magnetons per cell
* formation energy from the elements: -0.28 eV per atom

```
12
Lattice="3.758 0.014 -1.095 -1.003 6.451 -3.360 0.050 -0.440 7.161" Properties=species:S:1:pos:R:3 pbc="T T T"
Pt -0.279 5.785 -0.884
Fe -0.502 3.225 -1.680
Fe 0.963 1.882 3.326
Li 0.000 0.000 0.000
Pt 3.084 0.239 3.589
Fe 1.843 4.142 -0.621
Pt 2.577 3.496 1.892
Pt 0.228 2.528 0.813
Fe 2.375 0.976 1.165
Pt 1.120 4.889 -3.091
Pt 1.635 1.576 -1.365
Fe 0.430 5.048 1.540
```